VASP calculation (PBE-GGA) on a geometry-optimized Pm8Sn2Os structure.

The energy relative to the elements is -0.326 eV per atom. For the uncorrected energy, the calculation gives -5.529 eV per atom.

Geometry as CIF:
```
data_Pm8Sn2Os
_chemical_formula_sum 'Pm16 Sn4 Os2'
_symmetry_space_group_name_H-M 'C 1 2/m 1'
_symmetry_Int_Tables_number 12
_cell_length_a 19.6318
_cell_length_b 5.1501
_cell_length_c 6.8766
_cell_angle_alpha 90.00
_cell_angle_beta 107.45
_cell_angle_gamma 90.00
loop_
_symmetry_equiv_pos_as_xyz
'x,y,z'
'-x,-y,-z'
'-x,y,-z'
'x,-y,z'
'x+1/2,y+1/2,z'
'-x+1/2,-y+1/2,-z'
'-x+1/2,y+1/2,-z'
'x+1/2,-y+1/2,z'
loop_
_atom_site_label
_atom_site_fract_x
_atom_site_fract_y
_atom_site_fract_z
Pm1 0.0156 0.0000 0.2875
Pm2 0.0894 0.5000 0.9510
Pm3 0.1459 0.5000 0.4889
Pm4 0.2171 0.0000 0.8142
Sn1 0.1779 0.0000 0.2400
Os1 0.0000 0.5000 0.5000
```